{"formula": "Dy2Y2Th", "functional": "PBE", "state": "optimized geometry", "lattice": [[0.581, -7.728, -4.122], [4.759, -2.783, -3.458], [3.131, -7.230, 4.421]], "species": ["Dy", "Y", "Th", "Th", "Y", "Y", "Dy", "Y", "Dy", "Dy"], "fractional_positions": [[0.023, 0.650, 0.707], [0.257, 0.000, 0.584], [0.165, 0.670, 0.000], [0.835, 0.330, 0.000], [0.412, 0.000, 0.872], [0.588, 0.000, 0.128], [0.673, 0.350, 0.707], [0.743, 0.000, 0.416], [0.327, 0.650, 0.293], [0.977, 0.350, 0.293]], "ef_kj_per_mol_atoms": 14.5}


{"formula": "Dy15Y4Th", "functional": "PBE", "state": "optimized geometry", "lattice": [[-1.412, -3.563, -3.258], [3.894, 1.166, -2.963], [14.210, -16.702, 12.107]], "species": ["Y", "Y", "Th", "Dy", "Dy", "Y", "Dy", "Dy", "Dy", "Dy", "Dy", "Dy", "Dy", "Dy", "Dy", "Dy", "Dy", "Y", "Dy", "Dy"], "fractional_positions": [[0.000, 0.000, 0.400], [0.000, 0.000, 0.800], [0.000, 0.000, 0.000], [0.000, 0.500, 0.901], [0.000, 0.500, 0.700], [0.000, 0.000, 0.600], [0.500, 0.500, 0.000], [0.500, 0.000, 0.901], [0.500, 0.000, 0.700], [0.000, 0.500, 0.500], [0.500, 0.000, 0.099], [0.000, 0.500, 0.300], [0.500, 0.500, 0.799], [0.500, 0.500, 0.600], [0.500, 0.500, 0.400], [0.000, 0.500, 0.099], [0.500, 0.000, 0.300], [0.000, 0.000, 0.200], [0.500, 0.000, 0.500], [0.500, 0.500, 0.201]], "ef_kj_per_mol_atoms": 2.3}


{"formula": "Dy2Y3Th4", "functional": "PBE", "state": "optimized geometry", "lattice": [[-3.370, 3.466, 1.448], [2.227, 1.614, -7.470], [-6.536, -9.932, 8.557]], "species": ["Th", "Th", "Y", "Th", "Th", "Y", "Dy", "Dy", "Y"], "fractional_positions": [[0.334, 0.669, 0.004], [0.890, 0.780, 0.667], [0.555, 0.110, 0.670], [0.110, 0.220, 0.333], [0.666, 0.331, 0.996], [0.000, 0.000, 0.000], [0.773, 0.546, 0.333], [0.227, 0.454, 0.667], [0.445, 0.890, 0.330]], "ef_kj_per_mol_atoms": 3.4}


{"formula": "Dy4Y7Th", "functional": "PBE", "state": "optimized geometry", "lattice": [[5.924, 0.000, 0.000], [2.962, 11.200, -0.329], [2.962, 0.199, 6.061]], "species": ["Y", "Th", "Dy", "Y", "Y", "Y", "Y", "Dy", "Y", "Dy", "Y", "Dy"], "fractional_positions": [[0.633, 0.499, 0.234], [0.000, 0.000, 0.000], [0.361, 0.776, 0.503], [0.367, 0.501, 0.766], [0.213, 0.077, 0.496], [0.500, 0.000, 0.000], [0.939, 0.322, 0.800], [0.757, 0.679, 0.808], [0.787, 0.923, 0.504], [0.243, 0.321, 0.192], [0.061, 0.678, 0.200], [0.639, 0.224, 0.497]], "ef_kj_per_mol_atoms": 31.0}


{"formula": "Dy12Y6Th", "functional": "PBE", "state": "optimized geometry", "lattice": [[8.468, 0.682, 0.817], [-0.610, 8.473, 0.817], [-0.610, -0.711, 8.483]], "species": ["Dy", "Dy", "Y", "Y", "Dy", "Dy", "Dy", "Th", "Dy", "Dy", "Y", "Dy", "Dy", "Dy", "Y", "Y", "Dy", "Dy", "Y"], "fractional_positions": [[0.438, 0.774, 0.542], [0.562, 0.226, 0.458], [0.091, 0.689, 0.255], [0.745, 0.909, 0.311], [0.348, 0.010, 0.213], [0.774, 0.542, 0.438], [0.990, 0.787, 0.652], [0.000, 0.000, 0.000], [0.652, 0.990, 0.787], [0.542, 0.438, 0.774], [0.689, 0.255, 0.091], [0.213, 0.348, 0.010], [0.458, 0.562, 0.226], [0.787, 0.652, 0.990], [0.311, 0.745, 0.909], [0.255, 0.091, 0.689], [0.226, 0.458, 0.562], [0.010, 0.213, 0.348], [0.909, 0.311, 0.745]], "ef_kj_per_mol_atoms": 14.3}


{"formula": "Dy5Y6Th2", "functional": "PBE", "state": "optimized geometry", "lattice": [[-1.395, -2.090, -2.551], [10.112, -5.716, -0.848], [-6.264, -13.193, 14.236]], "species": ["Y", "Dy", "Dy", "Dy", "Th", "Dy", "Dy", "Y", "Y", "Th", "Th", "Y", "Y", "Y", "Y", "Th", "Dy", "Dy", "Y", "Y", "Y", "Y", "Dy", "Dy", "Y", "Dy"], "fractional_positions": [[0.000, 0.075, 0.359], [0.500, 0.698, 0.564], [0.500, 0.412, 0.716], [0.500, 0.588, 0.284], [0.000, 0.172, 0.775], [0.500, 0.000, 0.500], [0.500, 0.500, 0.000], [0.500, 0.320, 0.126], [0.000, 0.566, 0.428], [0.000, 0.672, 0.725], [0.000, 0.328, 0.275], [0.000, 0.434, 0.572], [0.000, 0.575, 0.141], [0.000, 0.925, 0.641], [0.000, 0.934, 0.928], [0.000, 0.828, 0.225], [0.500, 0.912, 0.784], [0.500, 0.198, 0.936], [0.000, 0.425, 0.859], [0.500, 0.180, 0.626], [0.000, 0.066, 0.072], [0.500, 0.680, 0.874], [0.500, 0.802, 0.064], [0.500, 0.302, 0.436], [0.500, 0.820, 0.374], [0.500, 0.088, 0.216]], "ef_kj_per_mol_atoms": 11.3}